No. 1
Crystalline Sb2TeMoPd at its relaxed geometry, computed with PBEsol.

Energy relative to the elements, uncorrected (eV per atom): 1.004
Symmetry: P4/mmm (123)
VASP energy (eV per atom): -5.0691

Unit cell a=5.043 b=5.043 c=5.245 alpha=90.00 beta=90.00 gamma=90.00
Atoms (fractional coordinates):
Sb1 0.000 0.500 0.000
Sb2 0.500 0.000 0.000
Te1 0.000 0.000 0.500
Mo1 0.500 0.500 0.500
Pd1 0.000 0.000 0.000

No. 2
Crystalline ScMo3Pd at its relaxed geometry, computed with PBEsol.

Symmetry: Pm-3m (221)
VASP energy (eV per atom): -7.9292
ΔH_f (0 K) (eV/atom): 1.6443

Unit cell a=4.691 b=4.691 c=4.691 alpha=90.00 beta=90.00 gamma=90.00
Atoms (fractional coordinates):
Sc1 0.000 0.000 0.000
Mo1 0.000 0.500 0.500
Mo2 0.500 0.000 0.500
Mo3 0.500 0.500 0.000
Pd1 0.500 0.500 0.500

No. 3
Crystalline MoPdSe2 at its relaxed geometry, computed with PBEsol.

Energy relative to the elements, uncorrected (eV per atom): -0.257
Symmetry: R-3m (166)
VASP energy (eV per atom): -6.6140

Unit cell a=8.467 b=8.467 c=8.467 alpha=21.55 beta=21.55 gamma=21.55
Atoms (fractional coordinates):
Mo1 0.000 0.000 0.000
Pd1 0.500 0.500 0.500
Se1 0.404 0.404 0.404
Se2 0.596 0.596 0.596

No. 4
Crystalline Mo3PdSe at its relaxed geometry, computed with PBEsol.

Energy relative to the elements, uncorrected (eV per atom): 2.011
Symmetry: Pm-3m (221)
VASP energy (eV per atom): -7.0113

Unit cell a=4.681 b=4.681 c=4.681 alpha=90.00 beta=90.00 gamma=90.00
Atoms (fractional coordinates):
Mo1 0.000 0.000 0.500
Mo2 0.000 0.500 0.000
Mo3 0.500 0.000 0.000
Pd1 0.000 0.000 0.000
Se1 0.500 0.500 0.500

No. 5
Crystalline YMoPd2Se at its relaxed geometry, computed with PBEsol.

Energy relative to the elements, uncorrected (eV per atom): 1.013
Symmetry: P4/mmm (123)
VASP energy (eV per atom): -5.8589

Unit cell a=4.871 b=4.871 c=5.215 alpha=90.00 beta=90.00 gamma=90.00
Atoms (fractional coordinates):
Y1 0.000 0.000 0.000
Mo1 0.500 0.500 0.500
Pd1 0.000 0.500 0.000
Pd2 0.500 0.000 0.000
Se1 0.000 0.000 0.500

No. 6
Crystalline Sn2MoPd2 at its relaxed geometry, computed with PBEsol.

Symmetry: I4/mmm (139)
VASP energy (eV per atom): -6.2917
ΔH_f (0 K) (eV/atom): 0.1491

Unit cell a=7.051 b=7.051 c=7.051 alpha=149.28 beta=149.28 gamma=44.01
Atoms (fractional coordinates):
Sn1 0.106 0.106 0.000
Sn2 0.894 0.894 0.000
Mo1 0.500 0.500 0.000
Pd1 0.250 0.750 0.500
Pd2 0.750 0.250 0.500

- Which value of VASP energy does entry 6 give?
  -6.2917 eV per atom

- Which formula does entry 3 have?
  MoPdSe2

- VASP energy of number 6 (Sn2MoPd2)?
  -6.2917 eV per atom